Entry 1:
# VPdPt

Crystalline VPdPt at its relaxed geometry (GGA-PBE, Alexandria via LeMat-Bulk).

Summary:
Density of states at the Fermi level in states/eV per cell: 5.178
ρ in g/cm³: 13.310
E_tot in eV/atom: -7.19

a = 2.7438 Å, b = 4.4043 Å, c = 7.4053 Å
α = 90.00°, β = 100.68°, γ = 90.00°
Element x y z (fractional)
V1 0.5543 0.7500 0.1087
Pd1 0.2171 0.7500 0.4343
Pd2 0.7829 0.2500 0.5657
Pt1 0.8973 0.7500 0.7947
Pt2 0.1027 0.2500 0.2053
V2 0.4457 0.2500 0.8913

Entry 2:
# VPd6Pt

Crystalline VPd6Pt at its relaxed geometry (GGA-PBE, Alexandria via LeMat-Bulk).

Summary:
Density of states at the Fermi level in states/eV per cell: 10.967
ρ in g/cm³: 12.177
E_tot in eV/atom: -5.94

a = 3.8809 Å, b = 5.5751 Å, c = 5.5751 Å
α = 90.00°, β = 90.00°, γ = 90.00°
Site moments in Bohr magnetons follow the coordinates.
Element x y z (fractional)
Pd1 0.5000 0.0000 0.5000  -0.05
Pd2 0.0000 0.7569 0.7569  -0.05
Pd3 0.0000 0.2432 0.7568  -0.05
Pd4 0.0000 0.2431 0.2431  -0.05
Pd5 0.0000 0.7568 0.2432  -0.05
Pd6 0.5000 0.5000 0.0000  -0.05
V1 0.5000 0.0000 0.0000  0.65
Pt1 0.5000 0.5000 0.5000  -0.04

Entry 3:
# VPdPt2

Crystalline VPdPt2 at its relaxed geometry (GGA-PBE, Alexandria via LeMat-Bulk).

Summary:
Density of states at the Fermi level in states/eV per cell: 4.022
ρ in g/cm³: 15.133
E_tot in eV/atom: -6.91

a = 2.7789 Å, b = 2.7789 Å, c = 9.1290 Å
α = 81.25°, β = 81.25°, γ = 59.96°
Element x y z (fractional)
Pt1 0.2555 0.2555 0.2332
Pd1 0.5000 0.5000 0.4998
Pt2 0.0778 0.0778 0.7666
V1 0.6666 0.6666 0.0003

Entry 4:
# V2PdPt5

Crystalline V2PdPt5 at its relaxed geometry (GGA-PBE, Alexandria via LeMat-Bulk).

Summary:
Density of states at the Fermi level in states/eV per cell: 8.533
ρ in g/cm³: 16.143
E_tot in eV/atom: -6.99

a = 2.7618 Å, b = 6.8535 Å, c = 6.8535 Å
α = 76.17°, β = 78.38°, γ = 78.38°
Element x y z (fractional)
V1 0.7424 0.7576 0.7576
V2 0.2576 0.2424 0.2424
Pt1 0.6332 0.5985 0.1352
Pt2 0.0000 0.5000 0.5000
Pt3 0.3668 0.8648 0.4015
Pd1 0.0000 0.0000 0.0000
Pt4 0.6332 0.1352 0.5985
Pt5 0.3668 0.4015 0.8648

Entry 5:
# V3Pd2Pt3

Crystalline V3Pd2Pt3 at its relaxed geometry (GGA-PBE, Alexandria via LeMat-Bulk).

Summary:
Density of states at the Fermi level in states/eV per cell: 8.720
ρ in g/cm³: 13.537
E_tot in eV/atom: -7.41

a = 3.8272 Å, b = 3.8934 Å, c = 8.2906 Å
α = 103.58°, β = 103.35°, γ = 90.00°
Element x y z (fractional)
Pt1 0.6188 0.6188 0.2377
V1 0.8748 0.8748 0.7496
Pd1 0.2519 0.7519 0.5038
V2 0.0000 0.5000 0.0000
Pt2 0.5000 0.0000 0.0000
Pd2 0.7481 0.2481 0.4962
V3 0.1252 0.1252 0.2504
Pt3 0.3812 0.3812 0.7623

Entry 6:
# V2Pd3Pt

Crystalline V2Pd3Pt at its relaxed geometry (GGA-PBE, Alexandria via LeMat-Bulk).

Summary:
Density of states at the Fermi level in states/eV per cell: 13.252
ρ in g/cm³: 11.434
E_tot in eV/atom: -6.85

a = 4.4625 Å, b = 7.1253 Å, c = 7.4201 Å
α = 124.85°, β = 90.00°, γ = 108.25°
Site moments in Bohr magnetons follow the coordinates.
Element x y z (fractional)
Pd1 0.6941 0.3882 0.3741  0.05
V1 0.2195 0.4389 0.8616  1.09
Pt1 0.1275 0.2550 0.0967  0.04
Pd2 0.9579 0.9158 0.6268  0.01
Pd3 0.0421 0.0842 0.3732  0.01
Pd4 0.3772 0.7544 0.3383  0.06
Pd5 0.6228 0.2456 0.6617  0.06
Pd6 0.3059 0.6118 0.6259  0.05
V2 0.5353 0.0706 0.8802  -0.08
Pt2 0.8725 0.7450 0.9033  0.04
V3 0.7805 0.5611 0.1384  1.09
V4 0.4647 0.9294 0.1198  -0.08

Entry 7:
# VPdPt

Crystalline VPdPt at its relaxed geometry (GGA-PBE, Alexandria via LeMat-Bulk).

Summary:
Density of states at the Fermi level in states/eV per cell: 5.804
ρ in g/cm³: 12.905
E_tot in eV/atom: -7.01

a = 4.7202 Å, b = 4.7200 Å, c = 8.2687 Å
α = 63.29°, β = 63.28°, γ = 33.90°
Element x y z (fractional)
Pd1 0.2629 0.5506 0.5644
V1 0.2963 0.5836 0.0940
V2 0.6246 0.9124 0.3881
Pd2 0.6580 0.9453 0.9177
Pt1 0.9604 0.2480 0.2411
Pt2 0.4605 0.7479 0.7411

Entry 8:
# PdPt3W

Crystalline PdPt3W at its relaxed geometry (GGA-PBE, Alexandria via LeMat-Bulk).

Summary:
Density of states at the Fermi level in states/eV per cell: 8.114
ρ in g/cm³: 16.577
E_tot in eV/atom: -6.69

a = 4.7136 Å, b = 6.5551 Å, c = 6.5551 Å
α = 120.00°, β = 90.00°, γ = 90.00°
Element x y z (fractional)
Pt1 0.2500 0.7968 0.2032
Pt2 0.2500 0.4062 0.2032
Pt3 0.2500 0.7968 0.5938
Pt4 0.7500 0.2032 0.4062
W1 0.7500 0.6665 0.3335
Pt5 0.7500 0.5938 0.7968
Pd1 0.5000 0.0000 0.0000
W2 0.2500 0.3335 0.6665
Pt6 0.7500 0.2032 0.7968
Pd2 0.0000 0.0000 0.0000

Entry 9:
# Pd7Pt4W

Crystalline Pd7Pt4W at its relaxed geometry (GGA-PBE, Alexandria via LeMat-Bulk).

Summary:
Density of states at the Fermi level in states/eV per cell: 14.488
ρ in g/cm³: 15.339
E_tot in eV/atom: -6.24

a = 5.6301 Å, b = 7.3905 Å, c = 7.3957 Å
α = 86.18°, β = 40.61°, γ = 101.23°
Element x y z (fractional)
Pt1 0.3509 0.6772 0.3265
Pt2 0.0813 0.6731 0.8384
Pt3 0.6491 0.3228 0.6735
Pt4 0.9187 0.3269 0.1616
Pd1 0.8391 0.6712 0.3291
Pd2 0.5000 0.0000 0.0000
Pd3 0.1609 0.3288 0.6709
Pd4 0.7483 0.9999 0.4977
Pd5 0.4112 0.3362 0.1713
Pd6 0.2517 0.0001 0.5023
Pd7 0.5888 0.6638 0.8287
W1 0.0000 0.0000 0.0000

Entry 10:
# PdPt2W

Crystalline PdPt2W at its relaxed geometry (GGA-PBE, Alexandria via LeMat-Bulk).

Summary:
Density of states at the Fermi level in states/eV per cell: 5.486
ρ in g/cm³: 18.123
E_tot in eV/atom: -7.80

a = 2.7940 Å, b = 2.7940 Å, c = 7.9863 Å
α = 90.00°, β = 90.00°, γ = 90.00°
Element x y z (fractional)
Pt1 0.0000 0.0000 0.7396
Pd1 0.5000 0.5000 0.0000
Pt2 0.0000 0.0000 0.2604
W1 0.5000 0.5000 0.5000

Entry 11:
# Pd4Pt2W

Crystalline Pd4Pt2W at its relaxed geometry (GGA-PBE, Alexandria via LeMat-Bulk).

Summary:
Density of states at the Fermi level in states/eV per cell: 6.623
ρ in g/cm³: 14.728
E_tot in eV/atom: -6.46

a = 2.7147 Å, b = 4.6279 Å, c = 9.2650 Å
α = 104.46°, β = 90.00°, γ = 90.00°
Element x y z (fractional)
Pt1 0.5000 0.7850 0.5700
Pd1 0.0000 0.0758 0.1517
W1 0.0000 0.5000 0.0000
Pt2 0.5000 0.2150 0.4300
Pd2 0.5000 0.6315 0.2631
Pd3 0.0000 0.9242 0.8483
Pd4 0.5000 0.3685 0.7369

Entry 12:
# PdPt2W2

Crystalline PdPt2W2 at its relaxed geometry (GGA-PBE, Alexandria via LeMat-Bulk).

Summary:
Density of states at the Fermi level in states/eV per cell: 8.735
ρ in g/cm³: 18.443
E_tot in eV/atom: -8.77

a = 4.9001 Å, b = 5.3538 Å, c = 10.2296 Å
α = 41.49°, β = 76.14°, γ = 62.77°
Element x y z (fractional)
Pt1 0.6350 0.0334 0.3527
Pd1 0.1625 0.7500 0.2500
Pt2 0.9789 0.5334 0.8527
W1 0.5513 0.1708 0.0379
W2 0.2401 0.6708 0.5379
W3 0.7599 0.3292 0.4621
Pd2 0.8375 0.2500 0.7500
Pt3 0.3650 0.9666 0.6473
W4 0.4487 0.8292 0.9621
Pt4 0.0211 0.4666 0.1473

Entry 13:
# PdPt2W2

Crystalline PdPt2W2 at its relaxed geometry (GGA-PBE, Alexandria via LeMat-Bulk).

Summary:
Density of states at the Fermi level in states/eV per cell: 5.555
ρ in g/cm³: 17.394
E_tot in eV/atom: -8.60

a = 7.7214 Å, b = 7.7214 Å, c = 2.7678 Å
α = 90.00°, β = 90.00°, γ = 90.00°
Element x y z (fractional)
Pt1 0.1249 0.3751 0.0000
Pt2 0.8751 0.6249 0.0000
Pt3 0.6249 0.1249 0.0000
W1 0.1719 0.6719 0.5000
Pd1 0.0000 0.0000 0.0000
W2 0.3281 0.1719 0.5000
W3 0.8281 0.3281 0.5000
Pd2 0.5000 0.5000 0.0000
W4 0.6719 0.8281 0.5000
Pt4 0.3751 0.8751 0.0000

Entry 14:
# Pd3Pt4W2

Crystalline Pd3Pt4W2 at its relaxed geometry (GGA-PBE, Alexandria via LeMat-Bulk).

Summary:
Density of states at the Fermi level in states/eV per cell: 3.903
ρ in g/cm³: 17.621
E_tot in eV/atom: -7.54

a = 3.9311 Å, b = 4.8250 Å, c = 8.3835 Å
α = 73.78°, β = 90.00°, γ = 65.97°
Element x y z (fractional)
W1 0.3298 0.3401 0.7714
Pd1 0.3284 0.3431 0.4420
W2 0.6702 0.6599 0.2286
Pt1 0.9989 0.0021 0.6748
Pd2 0.0000 0.0000 0.0000
Pd3 0.6716 0.6569 0.5580
Pt2 0.3323 0.3355 0.1085
Pt3 0.0011 0.9979 0.3252
Pt4 0.6677 0.6645 0.8915

Entry 15:
# PdPt3W

Crystalline PdPt3W at its relaxed geometry (GGA-PBE, Alexandria via LeMat-Bulk).

Summary:
Density of states at the Fermi level in states/eV per cell: 14.342
ρ in g/cm³: 13.865
E_tot in eV/atom: -5.23

a = 4.7156 Å, b = 4.7156 Å, c = 4.7156 Å
α = 90.00°, β = 90.00°, γ = 90.00°
Element x y z (fractional)
W1 0.5000 0.5000 0.5000
Pt1 0.0000 0.0000 0.5000
Pd1 0.0000 0.0000 0.0000
Pt2 0.0000 0.5000 0.0000
Pt3 0.5000 0.0000 0.0000

Entry 16:
# PdPt2W

Crystalline PdPt2W at its relaxed geometry (GGA-PBE, Alexandria via LeMat-Bulk).

Summary:
Density of states at the Fermi level in states/eV per cell: 4.430
ρ in g/cm³: 17.942
E_tot in eV/atom: -7.58

a = 4.4657 Å, b = 4.4657 Å, c = 4.4657 Å
α = 60.00°, β = 60.00°, γ = 60.00°
Element x y z (fractional)
Pd1 0.0000 0.0000 0.0000
W1 0.5000 0.5000 0.5000
Pt1 0.7500 0.7500 0.7500
Pt2 0.2500 0.2500 0.2500

Entry 17:
# PdPtW2

Crystalline PdPtW2 at its relaxed geometry (GGA-PBE, Alexandria via LeMat-Bulk).

Summary:
Density of states at the Fermi level in states/eV per cell: 7.530
ρ in g/cm³: 16.221
E_tot in eV/atom: -8.68

a = 7.1630 Å, b = 7.1630 Å, c = 5.7258 Å
α = 51.28°, β = 51.28°, γ = 90.00°
Element x y z (fractional)
W1 0.3750 0.3666 0.7500
W2 0.8750 0.8834 0.7500
Pd1 0.2500 0.7500 0.5000
Pt1 0.0000 0.0000 0.0000
W3 0.6334 0.1250 0.2500
W4 0.1166 0.6250 0.2500
Pd2 0.5000 0.5000 0.0000
Pt2 0.7500 0.2500 0.5000

Entry 18:
# PdPt9W2

Crystalline PdPt9W2 at its relaxed geometry (GGA-PBE, Alexandria via LeMat-Bulk).

Summary:
Density of states at the Fermi level in states/eV per cell: 11.198
ρ in g/cm³: 19.720
E_tot in eV/atom: -7.30

a = 6.2722 Å, b = 4.8821 Å, c = 6.2555 Å
α = 82.53°, β = 95.33°, γ = 97.44°
Element x y z (fractional)
Pt1 0.3204 0.0124 0.3332
Pt2 0.7627 0.2505 0.2627
Pt3 0.5883 0.7506 0.0881
W1 0.0897 0.2518 0.5880
Pt4 0.6796 0.9876 0.6668
Pd1 0.0000 0.0000 0.0000
Pt5 0.2373 0.7495 0.7373
W2 0.9103 0.7482 0.4120
Pt6 0.4117 0.2494 0.9119
Pt7 0.5000 0.5000 0.5000
Pt8 0.8345 0.4877 0.8210
Pt9 0.1655 0.5123 0.1790

Entry 19:
# PdPtW

Crystalline PdPtW at its relaxed geometry (GGA-PBE, Alexandria via LeMat-Bulk).

Summary:
Density of states at the Fermi level in states/eV per cell: 4.193
ρ in g/cm³: 17.282
E_tot in eV/atom: -8.21

a = 3.9568 Å, b = 3.9609 Å, c = 6.2714 Å
α = 90.00°, β = 108.39°, γ = 90.00°
Element x y z (fractional)
W1 0.4182 0.2500 0.8363
Pt1 0.0755 0.2500 0.1510
Pd1 0.2474 0.7500 0.4949
Pd2 0.7526 0.2500 0.5051
Pt2 0.9245 0.7500 0.8490
W2 0.5818 0.7500 0.1637

Entry 20:
# PdPtW

Crystalline PdPtW at its relaxed geometry (GGA-PBE, Alexandria via LeMat-Bulk).

Summary:
Density of states at the Fermi level in states/eV per cell: 2.909
ρ in g/cm³: 17.155
E_tot in eV/atom: -8.09

a = 2.7230 Å, b = 4.4634 Å, c = 4.4634 Å
α = 120.00°, β = 90.00°, γ = 90.00°
Element x y z (fractional)
W1 0.1661 0.0000 0.0000
Pd1 0.1675 0.3333 0.6667
Pt1 0.6664 0.6667 0.3333